First-principles (PBE-GGA) data for an optimized crystal structure of HoTm3Bi2, as listed in Alexandria.

Total energy: -4.8304 eV/atom
Energy relative to the lowest polymorph listed for this composition: 0 meV/atom
Density: 10.43 g/cm³
Energy relative to the elements: -0.538 eV/atom
Symmetry: No. 115
Total magnetization: 0.0001 μB per atom

```
HoTm3Bi2
1.0
4.525 0.000 0.000
0.000 4.525 0.000
0.000 0.000 8.470
Ho Tm Bi
1 3 2
Cartesian
2.262 2.262 0.000
2.262 0.000 2.885
0.000 2.262 5.586
0.000 0.000 0.000
2.262 0.000 6.030
0.000 2.262 2.440
```

First-principles (PBE-GGA) data for an optimized crystal structure of OsPb, as listed in Alexandria.

Total energy: -5.4450 eV/atom
Density: 9.21 g/cm³
Energy relative to the elements: 2.024 eV/atom
Symmetry: No. 223
Total magnetization: 0.1578 μB per atom

```
OsPb
1.0
7.548 0.000 0.000
0.000 7.548 0.000
0.000 0.000 7.548
Os Pb
6 6
Cartesian
1.887 3.774 0.000
5.661 3.774 0.000
3.774 0.000 1.887
3.774 0.000 5.661
0.000 1.887 3.774
0.000 5.661 3.774
1.887 0.000 3.774
5.661 0.000 3.774
0.000 3.774 1.887
0.000 3.774 5.661
3.774 1.887 0.000
3.774 5.661 0.000
```

First-principles (PBE-GGA) data for an optimized crystal structure of Tl4Sn3Pb, as listed in Alexandria.

Total energy: -3.1027 eV/atom
Density: 9.45 g/cm³
Energy relative to the elements: 0.045 eV/atom
Symmetry: No. 12
Total magnetization: 0.0000 μB per atom

```
Tl4Sn3Pb
1.0
-5.170 2.284 -0.367
-0.461 -1.877 -5.192
-0.274 -6.759 5.484
Pb Tl Sn
1 4 3
Cartesian
-2.585 1.142 -0.184
-4.135 -2.148 1.170
-1.769 -4.204 -1.245
-2.343 -4.971 2.062
-3.561 -1.381 -2.137
-0.230 -0.939 -2.596
-5.223 -4.908 -0.667
-0.680 -1.445 0.592
```

First-principles (PBE-GGA) data for an optimized crystal structure of CrRu2Cl, as listed in Alexandria.

Total energy: -6.5977 eV/atom
Formation energy from raw total energies: 908 meV/atom
Energy relative to the lowest polymorph listed for this composition: 611 meV/atom
Density: 8.28 g/cm³
Symmetry: No. 119
Total magnetization: 0.5123 μB per atom

```
CrRu2Cl
1.0
4.794 0.083 0.000
1.652 4.501 0.000
-3.223 -2.292 2.710
Ru Cl Cr
2 1 1
Cartesian
0.000 0.000 0.000
0.826 2.250 1.355
3.223 2.292 0.000
2.397 0.042 1.355
```

First-principles (PBE-GGA) data for an optimized crystal structure of MgBi3Pb4, as listed in Alexandria.

Total energy: -3.4489 eV/atom
Density: 9.19 g/cm³
Energy relative to the elements: 0.060 eV/atom
Symmetry: No. 12
Total magnetization: 0.0000 μB per atom

```
MgBi3Pb4
1.0
-3.295 1.189 4.139
-6.109 -1.008 -4.573
3.207 -6.501 0.869
Pb Mg Bi
4 1 3
Cartesian
-1.804 -2.717 2.897
-4.394 -3.603 -2.462
-1.962 -4.671 -0.219
-4.236 -1.649 0.654
-1.647 0.595 2.070
-3.055 -0.504 -2.287
-5.489 -4.767 0.553
-0.709 -1.553 -0.118
```

First-principles (PBE-GGA) data for an optimized crystal structure of NdSi4Os4, as listed in Alexandria.

Total energy: -8.3274 eV/atom
Formation energy from raw total energies: -396 meV/atom
Density: 11.71 g/cm³
Symmetry: No. 137
Total magnetization: 0.0000 μB per atom

```
NdSi4Os4
1.0
-0.719 -5.421 -2.413
-1.407 -2.205 5.374
-7.790 1.641 -1.366
Nd Si Os
2 8 8
Cartesian
0.000 0.000 0.000
-4.958 -2.992 0.798
-7.903 -3.131 1.987
-7.049 -1.793 -1.275
-2.658 -5.168 0.507
-2.222 -1.877 1.971
-2.736 -1.115 -1.174
-3.018 -3.245 -2.122
-5.699 0.441 0.707
-6.252 -0.425 2.818
-7.715 -1.008 0.890
-8.078 -3.739 -0.326
-2.374 -4.167 2.667
-1.665 -3.056 -0.041
-3.991 -1.031 3.505
-3.293 0.063 0.839
-5.033 -0.344 -1.459
-5.389 -3.033 -2.656
```